(P)
Below is a relaxed structure of YBeSe2Br, with properties calculated at the GGA-PBE level.

```
5
Lattice="4.845 0.000 0.000 0.000 4.845 0.000 0.000 0.000 4.551" Properties=species:S:1:pos:R:3 pbc="T T T"
Se 0.000 2.422 0.000
Se 2.422 0.000 0.000
Y 2.422 2.422 2.276
Be 0.000 0.000 0.000
Br 0.000 0.000 2.276
```

Summary:
Fermi-level density of states (states/eV/f.u.): 0.282
Crystal system: tetragonal

(Q)
Below is a relaxed structure of YBeSe2Br, with properties calculated at the GGA-PBE level.

```
5
Lattice="5.518 0.000 0.000 0.000 5.518 0.000 0.000 0.000 5.454" Properties=species:S:1:pos:R:3 pbc="T T T"
Be 2.759 2.759 2.727
Se 0.000 2.759 0.000
Se 2.759 0.000 0.000
Br 0.000 0.000 2.727
Y 0.000 0.000 0.000
```

Summary:
Fermi-level density of states (states/eV/f.u.): 4.026
Crystal system: tetragonal

Which of them is most stable, and which least? Most stable: (P); least stable: (Q).

(P)
Below is a relaxed structure of ZrBeSe2Br, with properties calculated at the GGA-PBE level.

```
5
Lattice="-0.841 -4.522 1.140 4.598 -0.998 -0.567 0.739 0.952 4.320" Properties=species:S:1:pos:R:3 pbc="T T T"
Zr 2.248 -2.284 2.447
Se 2.299 -0.499 -0.283
Be 0.000 0.000 0.000
Se -0.420 -2.261 0.570
Br 0.369 0.476 2.160
```

Summary:
Fermi-level density of states (states/eV/f.u.): 3.244
Crystal system: tetragonal

(Q)
Below is a relaxed structure of ZrBeSe2Br, with properties calculated at the GGA-PBE level.

```
5
Lattice="5.219 0.000 0.000 0.000 5.219 0.000 0.000 0.000 5.386" Properties=species:S:1:pos:R:3 pbc="T T T"
Br 0.000 0.000 2.693
Se 2.609 0.000 0.000
Zr 0.000 0.000 0.000
Se 0.000 2.609 0.000
Be 2.609 2.609 2.693
```

Summary:
Fermi-level density of states (states/eV/f.u.): 2.577
Crystal system: tetragonal

Which of them is most stable, and which least? Most stable: (P); least stable: (Q).

(P)
Below is a relaxed structure of BeSiBr2, with properties calculated at the GGA-PBE level.

```
4
Lattice="-4.590 -1.897 0.139 -0.661 -4.921 -0.181 -1.555 -2.448 4.035" Properties=species:S:1:pos:R:3 pbc="T T T"
Br -1.702 -2.316 0.998
Be -3.403 -4.633 1.996
Br 0.000 0.000 0.000
Si -5.105 -6.949 2.995
```

Summary:
Fermi-level density of states (states/eV/f.u.): 2.684
Crystal system: cubic

(Q)
Below is a relaxed structure of BeSiBr2, with properties calculated at the GGA-PBE level.

```
4
Lattice="4.901 -0.001 0.013 -0.799 4.836 0.013 2.042 2.406 3.751" Properties=species:S:1:pos:R:3 pbc="T T T"
Be 0.622 3.621 1.882
Br 2.051 2.417 0.013
Br 0.000 0.000 0.000
Si 3.471 1.202 1.882
```

Summary:
Fermi-level density of states (states/eV/f.u.): 1.066
Crystal system: tetragonal

Which of them is most stable, and which least? Most stable: (Q); least stable: (P).

(P)
Below is a relaxed structure of BeSiBr2, with properties calculated at the GGA-PBE level.

```
4
Lattice="7.175 0.061 -0.117 6.387 3.269 -0.117 1.757 0.431 5.543" Properties=species:S:1:pos:R:3 pbc="T T T"
Be 4.240 1.041 1.215
Si 9.435 2.317 2.049
Br 12.253 3.009 0.441
Br 10.613 2.607 4.025
```

Summary:
Crystal system: monoclinic

(Q)
Below is a relaxed structure of BeSiBr2, with properties calculated at the GGA-PBE level.

```
4
Lattice="4.108 0.000 0.000 0.000 3.574 -0.001 0.000 1.727 7.576" Properties=species:S:1:pos:R:3 pbc="T T T"
Be 2.054 3.311 4.200
Br 2.054 1.525 2.805
Si 0.000 3.314 5.107
Br 0.000 5.101 6.827
```

Summary:
Crystal system: monoclinic

Which of them is most stable, and which least? Most stable: (Q); least stable: (P).

(P)
Below is a relaxed structure of BeSiBr2, with properties calculated at the GGA-PBE level.

```
4
Lattice="4.846 -0.001 0.000 -0.205 4.841 0.000 0.000 0.000 3.434" Properties=species:S:1:pos:R:3 pbc="T T T"
Si 2.423 0.000 1.717
Be -0.103 2.421 1.717
Br 0.000 0.000 0.000
Br 2.320 2.420 0.000
```

Summary:
Fermi-level density of states (states/eV/f.u.): 2.713
Crystal system: orthorhombic

(Q)
Below is a relaxed structure of BeSiBr2, with properties calculated at the GGA-PBE level.

```
4
Lattice="3.762 0.000 0.000 0.000 7.273 0.182 0.000 7.311 4.464" Properties=species:S:1:pos:R:3 pbc="T T T"
Br 0.000 5.354 0.154
Be 1.881 10.938 3.484
Si 1.881 3.646 1.161
Br 0.000 9.211 2.351
```

Summary:
Crystal system: monoclinic

(R)
Below is a relaxed structure of BeSiBr2, with properties calculated at the GGA-PBE level.

```
4
Lattice="-6.324 3.782 -0.790 -7.086 -1.952 -0.948 6.497 0.119 3.563" Properties=species:S:1:pos:R:3 pbc="T T T"
Br -1.667 0.228 -0.216
Br -5.038 0.687 -0.653
Si -3.266 2.408 0.952
Be -3.647 -0.459 0.873
```

Summary:
Fermi-level density of states (states/eV/f.u.): 1.950
Crystal system: orthorhombic

(S)
Below is a relaxed structure of BeSiBr2, with properties calculated at the GGA-PBE level.

```
4
Lattice="-4.622 5.653 0.323 -5.185 2.976 -4.205 3.088 -5.864 3.083" Properties=species:S:1:pos:R:3 pbc="T T T"
Br -3.500 0.713 -1.532
Si -4.903 4.314 -1.941
Br 0.000 0.000 0.000
Be -3.218 2.052 0.733
```

Summary:
Fermi-level density of states (states/eV/f.u.): 1.979
Crystal system: tetragonal

Which of them is most stable, and which least? Most stable: (Q); least stable: (P).

(P)
Below is a relaxed structure of BeSiBr2, with properties calculated at the GGA-PBE level.

```
4
Lattice="-2.812 -4.506 11.257 -4.718 -6.552 9.473 -1.523 -7.282 9.980" Properties=species:S:1:pos:R:3 pbc="T T T"
Br -4.117 -8.340 13.966
Be -6.790 -13.755 23.033
Si -2.263 -4.585 7.678
Br -0.410 -0.830 1.390
```

Summary:
Fermi-level density of states (states/eV/f.u.): 1.034
Crystal system: trigonal

(Q)
Below is a relaxed structure of BeSiBr2, with properties calculated at the GGA-PBE level.

```
4
Lattice="3.175 0.000 0.000 0.000 3.175 0.000 0.000 0.000 8.559" Properties=species:S:1:pos:R:3 pbc="T T T"
Br 1.588 1.588 2.892
Be 1.588 1.588 6.155
Br 0.000 0.000 7.626
Si 0.000 0.000 4.725
```

Summary:
Fermi-level density of states (states/eV/f.u.): 1.374
Crystal system: tetragonal

Which of them is most stable, and which least? Most stable: (P); least stable: (Q).

(P)
Below is a relaxed structure of BeSnBr2, with properties calculated at the GGA-PBE level.

```
4
Lattice="1.968 0.000 12.122 -0.984 1.704 12.122 -0.984 -1.704 12.122" Properties=species:S:1:pos:R:3 pbc="T T T"
Br 0.000 0.000 31.692
Sn 0.000 0.000 0.000
Br 0.000 0.000 4.672
Be 0.000 0.000 18.182
```

Summary:
Fermi-level density of states (states/eV/f.u.): 1.059
Crystal system: trigonal

(Q)
Below is a relaxed structure of BeSnBr2, with properties calculated at the GGA-PBE level.

```
8
Lattice="-4.736 -4.988 0.677 5.007 -4.764 -0.080 0.498 -4.575 5.050" Properties=species:S:1:pos:R:3 pbc="T T T"
Sn -2.051 -7.220 3.013
Br -0.174 -11.219 4.322
Be 2.820 -7.108 2.634
Be 0.136 -4.876 0.298
Sn 0.000 0.000 0.000
Br 1.259 -7.835 3.999
Br -1.468 -4.076 1.569
Br 1.920 -5.526 1.403
```

Summary:
Fermi-level density of states (states/eV/f.u.): 1.517
Crystal system: tetragonal

Which of them is most stable, and which least? Most stable: (P); least stable: (Q).

(P)
Below is a relaxed structure of BeSn2Br, with properties calculated at the GGA-PBE level.

```
8
Lattice="-0.693 -4.265 -4.343 -2.077 -3.943 4.203 -7.277 -2.098 -1.100" Properties=species:S:1:pos:R:3 pbc="T T T"
Be -1.385 -4.104 -0.070
Be -5.369 -5.073 1.517
Sn -2.438 -3.231 -2.003
Br -4.677 -5.234 -2.756
Sn -6.717 -5.070 -0.431
Sn -7.661 -8.338 -1.393
Br 0.000 0.000 0.000
Sn -3.277 -3.975 1.349
```

Summary:
Fermi-level density of states (states/eV/f.u.): 3.788
Crystal system: tetragonal

(Q)
Below is a relaxed structure of BeSn2Br, with properties calculated at the GGA-PBE level.

```
4
Lattice="0.000 3.608 3.608 3.608 0.000 3.608 3.608 3.608 0.000" Properties=species:S:1:pos:R:3 pbc="T T T"
Sn 5.413 5.413 5.413
Br 3.608 3.608 3.608
Be 0.000 0.000 0.000
Sn 1.804 1.804 1.804
```

Summary:
Fermi-level density of states (states/eV/f.u.): 3.527
Crystal system: cubic

Which of them is most stable, and which least? Most stable: (P); least stable: (Q).

(P)
Below is a relaxed structure of Be2SnBr, with properties calculated at the GGA-PBE level.

```
8
Lattice="-3.046 -4.616 -1.149 -1.048 -0.679 5.509 -6.526 0.425 1.707" Properties=species:S:1:pos:R:3 pbc="T T T"
Be -3.640 -2.824 0.407
Br -4.811 -1.451 4.698
Br -2.047 -2.648 2.180
Sn -5.809 -3.419 1.369
Be -8.468 -4.309 5.048
Be -2.693 -0.935 3.716
Be -6.439 -1.673 2.963
Sn 0.000 0.000 0.000
```

Summary:
Fermi-level density of states (states/eV/f.u.): 2.507
Crystal system: tetragonal

(Q)
Below is a relaxed structure of Be2SnBr, with properties calculated at the GGA-PBE level.

```
4
Lattice="-3.047 0.103 3.569 -1.628 4.110 1.578 -4.472 1.203 -0.766" Properties=species:S:1:pos:R:3 pbc="T T T"
Sn -4.574 2.708 2.190
Be -6.861 4.062 3.285
Br 0.000 0.000 0.000
Be -2.287 1.354 1.095
```

Summary:
Fermi-level density of states (states/eV/f.u.): 2.879
Crystal system: cubic

Which of them is most stable, and which least? Most stable: (P); least stable: (Q).

(P)
Below is a relaxed structure of Be3SnBr, with properties calculated at the GGA-PBE level.

```
5
Lattice="4.482 0.000 0.000 0.000 4.482 0.000 0.000 0.000 4.482" Properties=species:S:1:pos:R:3 pbc="T T T"
Be 2.241 0.000 0.000
Be 0.000 2.241 0.000
Br 0.000 0.000 0.000
Sn 2.241 2.241 2.241
Be 0.000 0.000 2.241
```

Summary:
Fermi-level density of states (states/eV/f.u.): 3.605
Crystal system: cubic

(Q)
Below is a relaxed structure of Be3SnBr, with properties calculated at the GGA-PBE level.

```
5
Lattice="4.792 0.000 0.000 0.000 4.792 0.000 0.000 0.000 4.792" Properties=species:S:1:pos:R:3 pbc="T T T"
Br 2.396 2.396 2.396
Be 0.000 0.000 2.396
Be 2.396 0.000 0.000
Sn 0.000 0.000 0.000
Be 0.000 2.396 0.000
```

Summary:
Fermi-level density of states (states/eV/f.u.): 2.893
Crystal system: cubic

Which of them is most stable, and which least? Most stable: (Q); least stable: (P).

(P)
Below is a relaxed structure of SrBeBr, with properties calculated at the GGA-PBE level.

```
3
Lattice="-1.961 -0.964 6.730 1.897 -1.319 6.688 0.336 3.461 1.709" Properties=species:S:1:pos:R:3 pbc="T T T"
Br 0.218 1.766 5.164
Be 0.322 3.261 2.118
Sr 0.068 -0.389 9.556
```

Summary:
Fermi-level density of states (states/eV/f.u.): 1.080
Crystal system: tetragonal

(Q)
Below is a relaxed structure of SrBeBr, with properties calculated at the GGA-PBE level.

```
3
Lattice="-3.792 2.972 1.530 -4.468 -2.028 1.216 -1.501 -0.100 4.827" Properties=species:S:1:pos:R:3 pbc="T T T"
Sr -4.881 0.422 3.787
Br 0.000 0.000 0.000
Be -2.440 0.211 1.893
```

Summary:
Fermi-level density of states (states/eV/f.u.): 1.037
Crystal system: cubic

Which of them is most stable, and which least? Most stable: (P); least stable: (Q).

(P)
Below is a relaxed structure of SrBeBr, with properties calculated at the GGA-PBE level.

```
3
Lattice="4.233 0.000 0.000 -2.117 3.666 0.000 0.000 0.000 6.647" Properties=species:S:1:pos:R:3 pbc="T T T"
Br 2.117 1.222 2.509
Be 0.000 0.000 6.406
Sr 0.000 2.444 4.379
```

Summary:
Fermi-level density of states (states/eV/f.u.): 2.049
Crystal system: trigonal

(Q)
Below is a relaxed structure of SrBeBr, with properties calculated at the GGA-PBE level.

```
3
Lattice="5.123 0.000 0.000 2.561 4.437 0.000 2.561 1.479 4.183" Properties=species:S:1:pos:R:3 pbc="T T T"
Sr 0.000 0.000 0.000
Br 2.561 1.479 1.046
Be 5.123 2.958 2.091
```

Summary:
Fermi-level density of states (states/eV/f.u.): 2.640
Crystal system: cubic

Which of them is most stable, and which least? Most stable: (P); least stable: (Q).